TbGa4Ni4 | Alexandria | PBE | relaxed; ΔH_f (0 K) = -2.41 eV per formula unit; D(E_F) = 5.3 states/eV/f.u.; theoretical density = 7477 kg/m³; total magnetization = 0.0 μB/f.u.
1.0
-4.021 -0.238 2.035
3.506 -3.351 6.533
1.166 7.402 3.171
Tb Ga Ni
2 8 8
Cartesian
0.000 0.000 0.000
0.325 1.906 5.870
0.377 5.177 6.352
-0.849 4.265 8.827
0.276 -1.365 5.386
1.115 4.130 2.688
1.825 1.453 8.782
3.555 -0.080 7.016
-2.519 -0.692 4.947
-1.176 2.359 2.958
1.210 -0.536 7.331
-0.560 4.348 4.408
3.647 2.349 7.481
-1.970 4.721 6.668
-1.400 -1.147 7.106
-0.698 0.205 3.646
1.350 3.607 8.092
1.024 1.701 2.223